A) A plane-wave DFT calculation with PBE was carried out for TbTm3Th2 after structural relaxation.

## Properties
Space-group type: No. 12

abc: 3.439 10.062 11.769
angles: 108.07 98.40 90.00
Fractional positions:
Tm (0.306, 0.289, 0.612)
Tm (0.442, 0.556, 0.883)
Th (0.691, 0.376, 0.381)
Tm (0.558, 0.444, 0.117)
Tm (0.932, 0.229, 0.865)
Th (0.929, 0.864, 0.858)
Tb (0.313, 0.963, 0.626)
Tm (0.068, 0.771, 0.135)
Tm (0.694, 0.711, 0.388)
Th (0.309, 0.624, 0.619)
Tb (0.687, 0.037, 0.374)
Th (0.071, 0.136, 0.142)

***

B) A plane-wave DFT calculation with PBE was carried out for TbTm3Th2 after structural relaxation.

## Properties
Space-group type: No. 11

abc: 3.547 9.964 10.563
angles: 89.82 90.00 90.00
Fractional positions:
Tm (0.750, 0.624, 0.251)
Tm (0.250, 0.371, 0.082)
Tm (0.250, 0.376, 0.749)
Th (0.250, 0.378, 0.417)
Tb (0.250, 0.877, 0.751)
Th (0.750, 0.126, 0.918)
Tb (0.750, 0.123, 0.249)
Th (0.750, 0.622, 0.583)
Tm (0.750, 0.629, 0.918)
Th (0.250, 0.874, 0.082)
Tm (0.750, 0.132, 0.582)
Tm (0.250, 0.868, 0.418)

***

According to the calculations, the structures order from most to least stable as B), A).